1.
Below is a geometry-optimized KCa2Sc structure, with properties calculated at the GGA-PBE level.

Cell: 6.083 6.083 6.083 Å, 60.00 60.00 60.00°
Sites, in units of the cell vectors:
K: 0.000 0.000 0.000
Ca: 0.250 0.250 0.250
Ca: 0.750 0.750 0.750
Sc: 0.500 0.500 0.500

Properties
Energy of formation ... 0.427 eV/atom
Space group ... Fm-3m (225)
Polymorph energy (0 for the lowest one) ... 0.2042 eV/atom



2.
Below is a geometry-optimized KCaSc2 structure, with properties calculated at the GGA-PBE level.

Cell: 6.050 6.050 6.050 Å, 126.77 126.77 78.63°
Sites, in units of the cell vectors:
K: 0.000 0.000 0.000
Ca: 0.750 0.250 0.500
Sc: 0.250 0.750 0.500
Sc: 0.500 0.500 0.000

Properties
Energy of formation ... 0.620 eV/atom
Space group ... I-4m2 (119)
Polymorph energy (0 for the lowest one) ... 0.3498 eV/atom



3.
Below is a geometry-optimized KCaSc2 structure, with properties calculated at the GGA-PBE level.

Cell: 6.658 6.658 6.658 Å, 136.65 136.65 62.98°
Sites, in units of the cell vectors:
K: 0.000 0.000 0.000
Ca: 0.500 0.500 0.000
Sc: 0.250 0.750 0.500
Sc: 0.750 0.250 0.500

Properties
Energy of formation ... 0.619 eV/atom
Space group ... I4/mmm (139)
Polymorph energy (0 for the lowest one) ... 0.3488 eV/atom



4.
Below is a geometry-optimized KCaScTc2 structure, with properties calculated at the GGA-PBE level.

Cell: 4.805 4.805 4.848 Å, 90.00 90.00 90.00°
Sites, in units of the cell vectors:
K: 0.000 0.000 0.000
Ca: 0.500 0.500 0.500
Sc: 0.000 0.000 0.500
Tc: 0.000 0.500 0.000
Tc: 0.500 0.000 0.000

Properties
Energy of formation ... 2.066 eV/atom
Space group ... P4/mmm (123)



5.
Below is a geometry-optimized KCa2ScTl structure, with properties calculated at the GGA-PBE level.

Cell: 6.101 6.101 5.709 Å, 90.00 90.00 90.00°
Sites, in units of the cell vectors:
K: 0.000 0.000 0.000
Ca: 0.000 0.500 0.500
Ca: 0.500 0.000 0.500
Sc: 0.500 0.500 0.000
Tl: 0.500 0.500 0.500

Properties
Energy of formation ... 0.173 eV/atom
Space group ... P4/mmm (123)



6.
Below is a geometry-optimized KCa2Se structure, with properties calculated at the GGA-PBE level.

Cell: 6.935 6.935 6.935 Å, 140.11 140.11 57.69°
Sites, in units of the cell vectors:
K: 0.000 0.000 0.000
Ca: 0.500 0.500 0.000
Ca: 0.750 0.250 0.500
Se: 0.250 0.750 0.500

Properties
Formation energy without anion corrections ... -383 meV/atom
Space group ... I-4m2 (119)



7.
Below is a geometry-optimized KCa2Se structure, with properties calculated at the GGA-PBE level.

Cell: 11.068 11.068 11.068 Å, 160.07 158.94 29.16°
Sites, in units of the cell vectors:
K: 0.000 0.000 0.000
Ca: 0.341 0.341 0.000
Ca: 0.681 0.181 0.500
Se: 0.231 0.731 0.500

Properties
Formation energy without anion corrections ... -746 meV/atom
Space group ... Imm2 (44)



8.
Below is a geometry-optimized KCaSe2 structure, with properties calculated at the GGA-PBE level.

Cell: 9.275 9.275 9.275 Å, 139.22 139.22 59.05°
Sites, in units of the cell vectors:
K: 0.000 0.000 0.000
K: 0.750 0.250 0.500
Ca: 0.250 0.750 0.500
Ca: 0.500 0.500 0.000
Se: 0.205 0.625 0.080
Se: 0.375 0.455 0.580
Se: 0.545 0.125 0.920
Se: 0.875 0.795 0.420

Properties
Formation energy without anion corrections ... -1070 meV/atom
Space group ... I-42d (122)



9.
Below is a geometry-optimized KCa4Se structure, with properties calculated at the GGA-PBE level.

Cell: 7.106 7.106 7.106 Å, 60.00 60.00 60.00°
Sites, in units of the cell vectors:
K: 0.000 0.000 0.000
Ca: 0.376 0.376 0.376
Ca: 0.376 0.376 0.873
Ca: 0.376 0.873 0.376
Ca: 0.873 0.376 0.376
Se: 0.750 0.750 0.750

Properties
Formation energy without anion corrections ... 112 meV/atom
Space group ... F-43m (216)



10.
Below is a geometry-optimized KCaSe2 structure, with properties calculated at the GGA-PBE level.

Cell: 6.103 6.103 4.819 Å, 97.27 97.27 39.64°
Sites, in units of the cell vectors:
K: 0.000 0.000 0.000
Ca: 0.761 0.761 0.492
Se: 0.268 0.268 0.029
Se: 0.479 0.479 0.484

Properties
Formation energy without anion corrections ... -1139 meV/atom
Space group ... Cm (8)



11.
Below is a geometry-optimized K2CaSe structure, with properties calculated at the GGA-PBE level.

Cell: 9.030 9.030 9.030 Å, 95.51 95.51 143.91°
Sites, in units of the cell vectors:
K: 0.375 0.229 0.354
K: 0.771 0.125 0.146
K: 0.875 0.021 0.646
K: 0.979 0.625 0.854
Ca: 0.250 0.750 0.500
Ca: 0.500 0.500 0.000
Se: 0.000 0.000 0.000
Se: 0.750 0.250 0.500

Properties
Formation energy without anion corrections ... -661 meV/atom
Space group ... I-42d (122)



12.
Below is a geometry-optimized KCa2Se structure, with properties calculated at the GGA-PBE level.

Cell: 4.998 5.018 5.376 Å, 90.00 90.00 90.00°
Sites, in units of the cell vectors:
K: 0.000 0.000 0.000
Ca: 0.000 0.500 0.500
Ca: 0.500 0.000 0.500
Se: 0.500 0.500 0.000

Properties
Formation energy without anion corrections ... -414 meV/atom
Space group ... Pmmm (47)



13.
Below is a geometry-optimized K2CaSe structure, with properties calculated at the GGA-PBE level.

Cell: 6.607 6.607 6.607 Å, 134.10 134.10 66.93°
Sites, in units of the cell vectors:
K: 0.000 0.000 0.000
K: 0.750 0.250 0.500
Ca: 0.500 0.500 0.000
Se: 0.250 0.750 0.500

Properties
Formation energy without anion corrections ... -319 meV/atom
Space group ... I-4m2 (119)



14.
Below is a geometry-optimized K2CaSe structure, with properties calculated at the GGA-PBE level.

Cell: 8.232 8.232 8.232 Å, 151.62 138.88 50.71°
Sites, in units of the cell vectors:
K: 0.000 0.000 0.000
K: 0.659 0.159 0.500
Ca: 0.322 0.322 0.000
Se: 0.187 0.687 0.500

Properties
Formation energy without anion corrections ... -736 meV/atom
Space group ... Imm2 (44)



15.
Below is a geometry-optimized K2CaSe structure, with properties calculated at the GGA-PBE level.

Cell: 4.638 4.638 6.814 Å, 90.00 90.00 90.00°
Sites, in units of the cell vectors:
K: 0.000 0.000 0.209
K: 0.000 0.000 0.791
Ca: 0.500 0.500 0.500
Se: 0.500 0.500 0.000

Properties
Formation energy without anion corrections ... -514 meV/atom
Space group ... P4/mmm (123)



16.
Below is a geometry-optimized KCa2Se structure, with properties calculated at the GGA-PBE level.

Cell: 6.671 6.671 6.671 Å, 136.88 136.88 62.63°
Sites, in units of the cell vectors:
K: 0.000 0.000 0.000
Ca: 0.250 0.750 0.500
Ca: 0.750 0.250 0.500
Se: 0.500 0.500 0.000

Properties
Formation energy without anion corrections ... -361 meV/atom
Space group ... I4/mmm (139)



17.
Below is a geometry-optimized KCa2Se structure, with properties calculated at the GGA-PBE level.

Cell: 3.727 3.727 10.667 Å, 90.00 90.00 90.00°
Sites, in units of the cell vectors:
K: 0.000 0.000 0.000
Ca: 0.500 0.500 0.336
Ca: 0.500 0.500 0.664
Se: 0.000 0.000 0.500

Properties
Formation energy without anion corrections ... -723 meV/atom
Space group ... P4/mmm (123)



18.
Below is a geometry-optimized K2CaSe structure, with properties calculated at the GGA-PBE level.

Cell: 4.430 4.430 11.689 Å, 100.39 100.39 59.94°
Sites, in units of the cell vectors:
K: 0.000 0.000 0.000
K: 0.202 0.202 0.635
Ca: 0.773 0.773 0.332
Se: 0.476 0.476 0.448

Properties
Formation energy without anion corrections ... -840 meV/atom
Space group ... Cm (8)



19.
Below is a geometry-optimized K4CaSe structure, with properties calculated at the GGA-PBE level.

Cell: 7.429 7.429 7.429 Å, 60.00 60.00 60.00°
Sites, in units of the cell vectors:
K: 0.123 0.123 0.123
K: 0.123 0.123 0.630
K: 0.123 0.630 0.123
K: 0.630 0.123 0.123
Ca: 0.500 0.500 0.500
Se: 0.750 0.750 0.750

Properties
Formation energy without anion corrections ... 99 meV/atom
Space group ... F-43m (216)



20.
Below is a geometry-optimized KCa2Se structure, with properties calculated at the GGA-PBE level.

Cell: 4.110 7.520 7.520 Å, 42.71 90.00 90.00°
Sites, in units of the cell vectors:
K: 0.000 0.000 0.000
Ca: 0.000 0.312 0.312
Ca: 0.500 0.663 0.663
Se: 0.500 0.458 0.458

Properties
Formation energy without anion corrections ... -764 meV/atom
Space group ... Amm2 (38)



21.
Below is a geometry-optimized KCa2Se structure, with properties calculated at the GGA-PBE level.

Cell: 3.896 3.896 10.983 Å, 90.00 90.00 110.13°
Sites, in units of the cell vectors:
K: 0.000 0.000 0.000
Ca: 0.500 0.500 0.331
Ca: 0.500 0.500 0.669
Se: 0.000 0.000 0.500

Properties
Formation energy without anion corrections ... -737 meV/atom
Space group ... Cmmm (65)



22.
Below is a geometry-optimized KCa2Se structure, with properties calculated at the GGA-PBE level.

Cell: 6.739 6.739 7.226 Å, 117.01 117.01 33.64°
Sites, in units of the cell vectors:
K: 0.000 0.000 0.000
Ca: 0.654 0.654 0.654
Ca: 0.837 0.837 0.327
Se: 0.266 0.266 0.991

Properties
Formation energy without anion corrections ... -785 meV/atom
Space group ... Cm (8)



23.
Below is a geometry-optimized K2CaSe structure, with properties calculated at the GGA-PBE level.

Cell: 10.183 10.183 10.183 Å, 27.55 27.55 27.55°
Sites, in units of the cell vectors:
K: 0.215 0.215 0.215
K: 0.785 0.785 0.785
Ca: 0.000 0.000 0.000
Se: 0.500 0.500 0.500

Properties
Formation energy without anion corrections ... -433 meV/atom
Space group ... R-3m (166)



24.
Below is a geometry-optimized KCaSe2 structure, with properties calculated at the GGA-PBE level.

Cell: 5.323 5.323 5.323 Å, 60.00 60.00 60.00°
Sites, in units of the cell vectors:
K: 0.000 0.000 0.000
Ca: 0.250 0.250 0.250
Se: 0.500 0.500 0.500
Se: 0.750 0.750 0.750

Properties
Formation energy without anion corrections ... -591 meV/atom
Space group ... F-43m (216)



25.
Below is a geometry-optimized KCa2Se structure, with properties calculated at the GGA-PBE level.

Cell: 7.099 7.099 4.024 Å, 90.00 90.00 123.14°
Sites, in units of the cell vectors:
K: 0.000 0.000 0.000
Ca: 0.334 0.666 0.500
Ca: 0.666 0.334 0.500
Se: 0.500 0.500 0.000

Properties
Formation energy without anion corrections ... -775 meV/atom
Space group ... Cmmm (65)



26.
Below is a geometry-optimized KCaSe2 structure, with properties calculated at the GGA-PBE level.

Cell: 8.133 8.133 8.133 Å, 30.73 30.73 30.73°
Sites, in units of the cell vectors:
K: 0.000 0.000 0.000
Ca: 0.830 0.830 0.830
Se: 0.233 0.233 0.233
Se: 0.428 0.428 0.428

Properties
Formation energy without anion corrections ... -1259 meV/atom
Space group ... R3m (160)



27.
Below is a geometry-optimized KCaSe2 structure, with properties calculated at the GGA-PBE level.

Cell: 6.539 6.539 6.539 Å, 141.18 141.18 56.06°
Sites, in units of the cell vectors:
K: 0.000 0.000 0.000
Ca: 0.750 0.250 0.500
Se: 0.250 0.750 0.500
Se: 0.500 0.500 0.000

Properties
Formation energy without anion corrections ... -1029 meV/atom
Space group ... I-4m2 (119)



28.
Below is a geometry-optimized KCa2Se structure, with properties calculated at the GGA-PBE level.

Cell: 3.889 3.889 10.098 Å, 90.00 90.00 90.00°
Sites, in units of the cell vectors:
K: 0.000 0.000 0.000
Ca: 0.000 0.000 0.348
Ca: 0.500 0.500 0.640
Se: 0.500 0.500 0.239

Properties
Formation energy without anion corrections ... -778 meV/atom
Space group ... P4mm (99)



29.
Below is a geometry-optimized KCaSe2 structure, with properties calculated at the GGA-PBE level.

Cell: 5.312 5.312 5.312 Å, 60.00 60.00 60.00°
Sites, in units of the cell vectors:
K: 0.000 0.000 0.000
Ca: 0.500 0.500 0.500
Se: 0.250 0.250 0.250
Se: 0.750 0.750 0.750

Properties
Formation energy without anion corrections ... -1139 meV/atom
Space group ... Fm-3m (225)



30.
Below is a geometry-optimized K2CaSe structure, with properties calculated at the GGA-PBE level.

Cell: 8.257 8.257 4.811 Å, 90.00 90.00 140.18°
Sites, in units of the cell vectors:
K: 0.143 0.857 0.000
K: 0.857 0.143 0.000
Ca: 0.500 0.500 0.500
Se: 0.000 0.000 0.500

Properties
Formation energy without anion corrections ... -710 meV/atom
Space group ... Cmmm (65)



How do the records compare in magnetic moment? In the order shown, they have 0.000; 1.736; 1.478; 1.360; 0.945; 0.929; 0.000; 2.000; 0.004; 0.004; 0.000; 0.005; 1.047; 0.000; 0.000; 0.921; 0.000; 0.000; 0.000; 0.000; 0.000; 0.000; 0.000; 0.606; 0.000; 0.000; 0.000; 0.003; 0.000; 0.000 μB/cell.
How do the records compare in total DFT energy (no corrections)? In the order shown, they have -0.0893; -0.1220; -0.1221; -0.1458; -0.0951; -0.0929; -0.1063; -0.1318; -0.0730; -0.1344; -0.0949; -0.0941; -0.0823; -0.0976; -0.0894; -0.0921; -0.1054; -0.1014; -0.0568; -0.1069; -0.1060; -0.1077; -0.0865; -0.1142; -0.1074; -0.1388; -0.1303; -0.1075; -0.1344; -0.0967 Ha/atom.